[1]
## TbY2AgO (GGA-PBE)

Data for a relaxed structure of TbY2AgO. Values from VASP.

Calculated values
The symmetry is P4/mmm, No. 123.

Geometry as Quantum ESPRESSO input:
```
&SYSTEM
  ibrav = 0, nat = 5, ntyp = 4
/
ATOMIC_SPECIES
Tb 158.93 Tb.upf
Y 88.91 Y.upf
Ag 107.87 Ag.upf
O 16.00 O.upf
ATOMIC_POSITIONS angstrom
Tb 0.0000 0.0000 0.0000
Y 0.0000 2.3837 2.3940
Y 2.3837 0.0000 2.3940
Ag 2.3837 2.3837 0.0000
O 0.0000 0.0000 2.3940
CELL_PARAMETERS angstrom
4.7673 0.0000 0.0000
0.0000 4.7673 0.0000
0.0000 0.0000 4.7881
```

[2]
## Tb2ZnAgO5 (GGA-PBE)

Data for a relaxed structure of Tb2ZnAgO5. Values from VASP.

Calculated values
The symmetry is P4/mbm, No. 127.

Geometry as Quantum ESPRESSO input:
```
&SYSTEM
  ibrav = 0, nat = 18, ntyp = 4
/
ATOMIC_SPECIES
Tb 158.93 Tb.upf
Zn 65.41 Zn.upf
Ag 107.87 Ag.upf
O 16.00 O.upf
ATOMIC_POSITIONS angstrom
Tb 1.1321 2.1397 0.0000
Tb 2.1397 5.4114 0.0000
Tb 4.4039 1.1321 0.0000
Tb 5.4114 4.4039 0.0000
Zn 0.0000 3.2718 2.8586
Zn 3.2718 0.0000 2.8586
Ag 0.0000 0.0000 2.8586
Ag 3.2718 3.2718 2.8586
O 0.0000 0.0000 0.0000
O 0.9048 4.1766 1.4017
O 0.9048 4.1766 4.3154
O 2.3669 0.9048 1.4017
O 2.3669 0.9048 4.3154
O 3.2718 3.2718 0.0000
O 4.1766 5.6387 1.4017
O 4.1766 5.6387 4.3154
O 5.6387 2.3669 1.4017
O 5.6387 2.3669 4.3154
CELL_PARAMETERS angstrom
6.5435 0.0000 0.0000
0.0000 6.5435 0.0000
0.0000 0.0000 5.7171
```

[3]
## Tc3AgO (GGA-PBE)

Data for a relaxed structure of Tc3AgO. Values from VASP.

Calculated values
The offset from the most stable computed form comes out at 0.000 eV per atom. The symmetry is Pm-3m, No. 221.

Geometry as Quantum ESPRESSO input:
```
&SYSTEM
  ibrav = 0, nat = 5, ntyp = 3
/
ATOMIC_SPECIES
Tc 98.00 Tc.upf
Ag 107.87 Ag.upf
O 16.00 O.upf
ATOMIC_POSITIONS angstrom
Tc 0.0000 0.0000 2.0500
Tc 0.0000 2.0500 0.0000
Tc 2.0500 0.0000 0.0000
Ag 2.0500 2.0500 2.0500
O 0.0000 0.0000 0.0000
CELL_PARAMETERS angstrom
4.0999 0.0000 0.0000
0.0000 4.0999 0.0000
0.0000 0.0000 4.0999
```

[4]
## TcAgO4 (GGA-PBE)

Data for a relaxed structure of TcAgO4. Values from VASP.

Calculated values
The offset from the most stable computed form comes out at 0.000 eV per atom. The symmetry is Pnma, No. 62.

Geometry as Quantum ESPRESSO input:
```
&SYSTEM
  ibrav = 0, nat = 24, ntyp = 3
/
ATOMIC_SPECIES
Tc 98.00 Tc.upf
Ag 107.87 Ag.upf
O 16.00 O.upf
ATOMIC_POSITIONS angstrom
Tc 0.7537 1.8270 1.2568
Tc 3.8549 5.4810 4.9343
Tc 5.3623 1.8270 2.4206
Tc 8.4634 5.4810 6.0981
Ag 0.9110 5.4810 2.2742
Ag 3.6975 1.8270 5.9516
Ag 5.5196 5.4810 1.4033
Ag 8.3061 1.8270 5.0807
O 0.5223 5.4810 7.2907
O 0.6349 0.4021 2.2660
O 0.6349 3.2519 2.2660
O 2.2911 1.8270 0.4327
O 2.3175 5.4810 4.1102
O 3.9737 4.0561 5.9434
O 3.9737 6.9059 5.9434
O 4.0862 1.8270 3.6133
O 5.1309 5.4810 3.7416
O 5.2435 0.4021 1.4115
O 5.2435 3.2519 1.4115
O 6.8997 1.8270 3.2447
O 6.9260 5.4810 6.9222
O 8.5823 4.0561 5.0889
O 8.5823 6.9059 5.0889
O 8.6948 1.8270 0.0642
CELL_PARAMETERS angstrom
9.2171 0.0000 0.0000
0.0000 7.3080 0.0000
0.0000 0.0000 7.3549
```

[5]
## Tc3AgO12 (GGA-PBE)

Data for a relaxed structure of Tc3AgO12. Values from VASP.

Calculated values
The symmetry is R3c, No. 161.

Geometry as Quantum ESPRESSO input:
```
&SYSTEM
  ibrav = 0, nat = 32, ntyp = 3
/
ATOMIC_SPECIES
Tc 98.00 Tc.upf
Ag 107.87 Ag.upf
O 16.00 O.upf
ATOMIC_POSITIONS angstrom
Tc -1.6194 -2.0679 9.6758
Tc -3.5391 -0.1734 14.5137
Tc -0.9811 2.4363 9.6758
Tc 1.9198 -2.9783 14.5138
Tc 2.6005 -0.3685 9.6758
Tc 1.6194 3.1517 14.5137
Ag 0.0000 0.0000 7.0888
Ag 0.0000 0.0000 21.6026
O -1.5490 -0.9402 8.2989
O -0.0876 -1.7628 5.8249
O -1.4829 0.9572 5.8249
O -2.9156 -1.4693 15.4481
O -0.1854 -1.9599 10.6101
O -1.6046 1.1405 10.6101
O -2.2939 -1.8443 18.7823
O -2.2264 0.7655 13.9444
O 0.4502 -2.3108 13.9444
O -0.0397 1.8115 8.2989
O 1.5887 -0.8714 8.2989
O 1.5704 0.8056 5.8249
O -1.5887 -0.8713 22.8127
O -1.5704 0.8056 20.3387
O 0.0876 -1.7628 20.3387
O 1.7900 0.8194 10.6101
O 2.7303 -1.7904 15.4480
O 0.1853 3.2597 15.4480
O 1.7761 1.5453 13.9444
O -0.4502 2.9087 18.7823
O 2.7442 -1.0644 18.7823
O 1.5490 -0.9402 22.8127
O 0.0397 1.8115 22.8127
O 1.4829 0.9572 20.3387
CELL_PARAMETERS angstrom
4.5203 2.6098 9.6758
-4.5203 2.6098 9.6758
0.0000 -5.2196 9.6758
```

[6]
## Tc4AgO12 (GGA-PBE)

Data for a relaxed structure of Tc4AgO12. Values from VASP.

Calculated values
The symmetry is I4/mmm, No. 139.

Geometry as Quantum ESPRESSO input:
```
&SYSTEM
  ibrav = 0, nat = 17, ntyp = 3
/
ATOMIC_SPECIES
Tc 98.00 Tc.upf
Ag 107.87 Ag.upf
O 16.00 O.upf
ATOMIC_POSITIONS angstrom
Tc 1.8839 1.8839 -1.9068
Tc 1.8839 -1.8839 1.9068
Tc -1.8839 1.8839 1.9068
Tc 1.8839 1.8839 1.9068
Ag 0.0000 0.0000 0.0000
O 3.7677 1.8721 -1.6532
O 1.5858 1.5858 0.0000
O 2.1819 -2.1819 3.8137
O 1.8721 3.7677 -1.6532
O 1.8956 0.0000 2.1605
O 3.7677 1.8721 1.6532
O 0.0000 1.8956 2.1605
O 1.8721 3.7677 1.6532
O 1.8956 0.0000 5.4669
O -2.1819 2.1819 3.8137
O 2.1819 2.1819 3.8137
O 0.0000 1.8956 5.4669
CELL_PARAMETERS angstrom
-3.7677 3.7677 3.8137
3.7677 -3.7677 3.8137
3.7677 3.7677 -3.8137
```

[7]
## TcAg4O5 (GGA-PBE)

Data for a relaxed structure of TcAg4O5. Values from VASP.

Calculated values
The symmetry is I4, No. 79.

Geometry as Quantum ESPRESSO input:
```
&SYSTEM
  ibrav = 0, nat = 10, ntyp = 3
/
ATOMIC_SPECIES
Tc 98.00 Tc.upf
Ag 107.87 Ag.upf
O 16.00 O.upf
ATOMIC_POSITIONS angstrom
Tc 0.0000 0.0000 0.0000
Ag 3.4229 1.2541 0.2190
Ag 3.0329 -0.8641 2.1421
Ag 1.2541 5.1511 0.2190
Ag 0.8641 3.0329 2.1421
O 6.9816 1.0041 0.2621
O 1.0041 1.5925 0.2621
O 0.0000 0.0000 2.0980
O 3.2829 2.6946 2.1851
O -2.6946 3.2829 2.1851
CELL_PARAMETERS angstrom
-4.2870 4.2870 1.9230
4.2870 -4.2870 1.9230
4.2870 4.2870 -1.9230
```

[8]
## Tc2Ag2O7 (GGA-PBE)

Data for a relaxed structure of Tc2Ag2O7. Values from VASP.

Calculated values
The symmetry is C2/m, No. 12.

Geometry as Quantum ESPRESSO input:
```
&SYSTEM
  ibrav = 0, nat = 11, ntyp = 3
/
ATOMIC_SPECIES
Tc 98.00 Tc.upf
Ag 107.87 Ag.upf
O 16.00 O.upf
ATOMIC_POSITIONS angstrom
Tc 1.1287 0.0000 2.1159
Tc 4.1229 0.0000 3.3673
Ag 3.2553 1.8192 0.0000
Ag 3.2553 -1.8192 0.0000
O -0.6295 0.0000 2.7416
O 1.1616 1.5258 1.2178
O 1.1616 -1.5258 1.2178
O 1.9597 0.0000 3.7976
O 3.2919 0.0000 1.6855
O 4.0899 1.5258 4.2653
O 4.0899 -1.5258 4.2653
CELL_PARAMETERS angstrom
3.2553 -4.9495 0.0000
3.2553 4.9495 0.0000
-1.2590 0.0000 5.4832
```

[9]
## TcAg2O (GGA-PBE)

Data for a relaxed structure of TcAg2O. Values from VASP.

Calculated values
The symmetry is I-42d, No. 122.

Geometry as Quantum ESPRESSO input:
```
&SYSTEM
  ibrav = 0, nat = 8, ntyp = 3
/
ATOMIC_SPECIES
Tc 98.00 Tc.upf
Ag 107.87 Ag.upf
O 16.00 O.upf
ATOMIC_POSITIONS angstrom
Tc 0.0000 0.0000 0.0000
Tc 0.0000 4.4226 0.9371
Ag 2.2113 3.1999 -0.4685
Ag 5.6453 2.2113 0.4685
Ag 2.2113 1.2227 1.4056
Ag -1.2227 2.2113 2.3426
O 4.4226 0.0000 0.9371
O 0.0000 0.0000 1.8741
CELL_PARAMETERS angstrom
-4.4226 4.4226 1.8741
4.4226 -4.4226 1.8741
4.4226 4.4226 -1.8741
```

[10]
## TcAgO4 (GGA-PBE)

Data for a relaxed structure of TcAgO4. Values from VASP.

Calculated values
The offset from the most stable computed form comes out at 0.010 eV per atom. The symmetry is I4_1/a, No. 88.

Geometry as Quantum ESPRESSO input:
```
&SYSTEM
  ibrav = 0, nat = 12, ntyp = 3
/
ATOMIC_SPECIES
Tc 98.00 Tc.upf
Ag 107.87 Ag.upf
O 16.00 O.upf
ATOMIC_POSITIONS angstrom
Tc 0.0000 1.3564 1.4769
Tc 2.7127 1.3564 4.4307
Ag 2.7127 1.3564 -1.4769
Ag 0.0000 1.3564 7.3846
O 1.2625 0.6462 0.4895
O 2.0026 2.8066 -3.4434
O 2.0026 0.0938 3.4434
O 1.4502 -0.6462 6.3972
O 1.2625 3.3590 -0.4895
O 0.7102 2.6189 2.4643
O 0.7102 -0.0938 9.3510
O 1.4502 2.0665 5.4181
CELL_PARAMETERS angstrom
-2.7127 2.7127 5.9076
2.7127 -2.7127 5.9076
2.7127 2.7127 -5.9076
```

Number 1: uncorrected formation energy -1.23 eV/atom, ρ 7.03 g cm⁻³. Number 2: uncorrected formation energy -2.05 eV/atom, ρ 7.75 g cm⁻³. Number 3: uncorrected formation energy 0.25 eV/atom, ρ 10.07 g cm⁻³. Number 4: uncorrected formation energy -1.07 eV/atom, ρ 3.62 g cm⁻³. Number 5: uncorrected formation energy -1.03 eV/atom, ρ 2.88 g cm⁻³. Number 6: uncorrected formation energy -1.19 eV/atom, ρ 5.31 g cm⁻³. Number 7: uncorrected formation energy -0.55 eV/atom, ρ 7.16 g cm⁻³. Number 8: uncorrected formation energy -1.00 eV/atom, ρ 4.92 g cm⁻³. Number 9: uncorrected formation energy 0.37 eV/atom, ρ 7.47 g cm⁻³. Number 10: uncorrected formation energy -1.06 eV/atom, ρ 5.15 g cm⁻³.